Computed, not measured: a relaxed structure of Y2Al4CoNi at the PBE level of DFT.

a b c (Å): 6.9689 5.4738 5.4738
angles (deg): 43.23 90.00 90.00
Positions (direct):
Y (0.0000, 0.0000, 0.0000)
Y (0.5000, 0.1186, 0.1186)
Al (0.1934, 0.7198, 0.7198)
Al (0.3049, 0.3989, 0.3989)
Al (0.6951, 0.3989, 0.3989)
Al (0.8066, 0.7198, 0.7198)
Co (0.0000, 0.2757, 0.2757)
Ni (0.5000, 0.8417, 0.8417)

Results
total magnetization	0.001	Bohr magnetons per cell
mass density	4.7	g cm⁻³
symmetry	Amm2
final energy	-5.67	eV per atom


Computed, not measured: a relaxed structure of HfZnNiHg at the PBE level of DFT.

a b c (Å): 4.5640 4.5640 4.5640
angles (deg): 60.00 60.00 60.00
Positions (direct):
Hf (0.0000, 0.0000, 0.0000)
Zn (0.5000, 0.5000, 0.5000)
Ni (0.7500, 0.7500, 0.7500)
Hg (0.2500, 0.2500, 0.2500)

Results
total magnetization	0.001	Bohr magnetons per cell
mass density	12.4	g cm⁻³
E_form	-0.0822	eV/atom
symmetry	F-43m
final energy	-4.35	eV per atom
energy above the lowest structure with this stoichiometry	0	meV per atom


Computed, not measured: a relaxed structure of ScHgB4 at the PBE level of DFT.

a b c (Å): 5.0002 5.0002 5.0002
angles (deg): 143.38 117.23 74.92
Positions (direct):
Sc (0.0000, 0.0000, 0.0000)
Hg (0.5000, 0.5000, 0.0000)
B (0.0500, 0.7300, 0.3200)
B (0.4101, 0.7300, 0.6800)
B (0.5899, 0.2700, 0.3200)
B (0.9500, 0.2700, 0.6800)

Results
total magnetization	0.000	Bohr magnetons per cell
mass density	7.4	g cm⁻³
symmetry	Immm
final energy	-5.58	eV per atom
energy above the lowest structure with this stoichiometry	0	meV per atom


Computed, not measured: a relaxed structure of GdNi3 at the PBE level of DFT.

a b c (Å): 4.6941 4.6941 4.6941
angles (deg): 130.59 130.59 72.46
Positions (direct):
Gd (0.0000, 0.0000, 0.0000)
Ni (0.2500, 0.7500, 0.5000)
Ni (0.5000, 0.5000, 0.0000)
Ni (0.7500, 0.2500, 0.5000)

Results
total magnetization	0.369	Bohr magnetons per cell
mass density	9.5	g cm⁻³
E_form	-0.1434	eV/atom
symmetry	I4/mmm
final energy	-5.48	eV per atom